PBE Na2PuThS4, optimized geometry; ρ = 5.58 Mg/m³; formation energy from raw total energies = -1624 meV/atom; total DFT energy (no corrections) = -6.7369 eV per atom
1.0
7.059 0.000 0.000
0.000 4.094 0.000
-2.363 0.000 6.696
Na Pu Th S
2 1 1 4
Cartesian
0.000 0.000 0.000
3.530 2.047 0.000
-1.181 2.047 3.348
2.348 0.000 3.348
0.010 0.000 4.888
1.193 2.047 1.772
3.504 2.047 4.923
4.686 0.000 1.808